Record 1
# Hg2MoP (PBE-GGA, relaxed)
# **V**: 19.511 Å³ per atom
# **Energy of formation from the pure elements**: 0.37 eV per formula unit
# **Energy above the lowest structure with this stoichiometry**: 0 meV/atom
data_Hg2MoP
_chemical_formula_sum 'Hg2 Mo1 P1'
_symmetry_space_group_name_H-M 'P 1 m 1'
_symmetry_Int_Tables_number 6
_symmetry_space_group_name_Hall 'P -2y'
_cell_length_a 3.1975
_cell_length_b 3.1348
_cell_length_c 7.9394
_cell_angle_alpha 90.00
_cell_angle_beta 101.28
_cell_angle_gamma 90.00
loop_
_atom_site_label
_atom_site_type_symbol
_atom_site_fract_x
_atom_site_fract_y
_atom_site_fract_z
_atom_site_occupancy
Hg1 Hg 0.0000 0.0000 0.0000 1
Hg2 Hg 0.1778 0.5000 0.3300 1
Mo1 Mo 0.8075 0.0000 0.5943 1
P1 P 0.3712 0.5000 0.7287 1

Record 2
# HgMoP2 (PBE-GGA, relaxed)
# **V**: 16.596 Å³ per atom
# **Energy of formation from the pure elements**: 2.59 eV per formula unit
# **Energy above the lowest structure with this stoichiometry**: 703 meV/atom
data_HgMoP2
_chemical_formula_sum 'Hg4 Mo4 P8'
_symmetry_space_group_name_H-M 'F m -3 m'
_symmetry_Int_Tables_number 225
_symmetry_space_group_name_Hall '-F 4 2 3'
_cell_length_a 6.4275
_cell_length_b 6.4275
_cell_length_c 6.4275
_cell_angle_alpha 90.00
_cell_angle_beta 90.00
_cell_angle_gamma 90.00
loop_
_atom_site_label
_atom_site_type_symbol
_atom_site_fract_x
_atom_site_fract_y
_atom_site_fract_z
_atom_site_occupancy
Hg1 Hg 0.0000 0.0000 0.0000 1
Mo1 Mo 0.0000 0.0000 0.5000 1
P1 P 0.2500 0.2500 0.2500 1

Record 3
# HgMoP2 (PBE-GGA, relaxed)
# **V**: 18.164 Å³ per atom
# **Energy of formation from the pure elements**: -0.14 eV per formula unit
# **Energy above the lowest structure with this stoichiometry**: 19 meV/atom
data_HgMoP2
_chemical_formula_sum 'Hg1 Mo1 P2'
_symmetry_space_group_name_H-M 'P 4/m m m'
_symmetry_Int_Tables_number 123
_symmetry_space_group_name_Hall '-P 4 2'
_cell_length_a 3.1244
_cell_length_b 3.1244
_cell_length_c 7.4429
_cell_angle_alpha 90.00
_cell_angle_beta 90.00
_cell_angle_gamma 90.00
loop_
_atom_site_label
_atom_site_type_symbol
_atom_site_fract_x
_atom_site_fract_y
_atom_site_fract_z
_atom_site_occupancy
Hg1 Hg 0.0000 0.0000 0.0000 1
Mo1 Mo 0.0000 0.0000 0.5000 1
P1 P 0.5000 0.5000 0.3277 1